# 1
This record from the Alexandria database describes a relaxed MgRu3Au crystal. The functional is PBEsol.

Lattice parameters (Å, degrees): 4.803 4.803 4.803 90.00 90.00 90.00
Fractional coordinates of all 5 atoms:
Mg (0.000, 0.000, 0.000)
Ru (0.000, 0.500, 0.500)
Ru (0.500, 0.000, 0.500)
Ru (0.500, 0.500, 0.000)
Au (0.500, 0.500, 0.500)

Calculated values
The energy of formation comes out at 10.3 eV per formula unit. The space group is No. 221.

---

# 2
This record from the Alexandria database describes a relaxed MgRu2Au crystal. The functional is PBEsol.

Lattice parameters (Å, degrees): 2.763 2.763 27.301 90.00 90.00 120.00
Fractional coordinates of all 12 atoms:
Mg (0.000, 0.000, 0.000)
Mg (0.333, 0.667, 0.667)
Mg (0.667, 0.333, 0.333)
Ru (0.000, 0.000, 0.251)
Ru (0.000, 0.000, 0.749)
Ru (0.333, 0.667, 0.416)
Ru (0.333, 0.667, 0.918)
Ru (0.667, 0.333, 0.082)
Ru (0.667, 0.333, 0.584)
Au (0.000, 0.000, 0.500)
Au (0.333, 0.667, 0.167)
Au (0.667, 0.333, 0.833)

Calculated values
The energy of formation comes out at 1.5 eV per formula unit. The space group is No. 166.

---

# 3
This record from the Alexandria database describes a relaxed MgRu2Au crystal. The functional is PBEsol.

Lattice parameters (Å, degrees): 9.368 2.788 4.634 90.00 100.18 90.00
Fractional coordinates of all 8 atoms:
Mg (0.000, 0.000, 0.000)
Mg (0.500, 0.500, 0.000)
Ru (0.249, 0.000, 0.762)
Ru (0.251, 0.500, 0.238)
Ru (0.749, 0.500, 0.762)
Ru (0.751, 0.000, 0.238)
Au (0.000, 0.500, 0.500)
Au (0.500, 0.000, 0.500)

Calculated values
The energy of formation comes out at 0.8 eV per formula unit. The space group is No. 12.

---

# 4
This record from the Alexandria database describes a relaxed MgRuW2Au crystal. The functional is PBEsol.

Lattice parameters (Å, degrees): 4.622 4.622 4.707 90.00 90.00 90.00
Fractional coordinates of all 5 atoms:
Mg (0.000, 0.000, 0.000)
Ru (0.000, 0.000, 0.500)
W (0.000, 0.500, 0.500)
W (0.500, 0.000, 0.500)
Au (0.500, 0.500, 0.000)

Calculated values
The energy of formation comes out at 7.6 eV per formula unit. The space group is No. 123.

---

# 5
This record from the Alexandria database describes a relaxed Mg3AuS crystal. The functional is PBEsol.

Lattice parameters (Å, degrees): 4.992 4.992 4.992 90.00 90.00 90.00
Fractional coordinates of all 5 atoms:
Mg (0.000, 0.000, 0.500)
Mg (0.000, 0.500, 0.000)
Mg (0.500, 0.000, 0.000)
Au (0.000, 0.000, 0.000)
S (0.500, 0.500, 0.500)

Calculated values
Its formation energy without anion corrections is -78.1 meV per atom. The space group is No. 221.

---

# 6
This record from the Alexandria database describes a relaxed MgSbAu2 crystal. The functional is PBEsol.

Lattice parameters (Å, degrees): 3.643 3.662 5.809 90.00 90.00 90.00
Fractional coordinates of all 4 atoms:
Mg (0.000, 0.000, 0.000)
Sb (0.000, 0.000, 0.500)
Au (0.500, 0.500, 0.236)
Au (0.500, 0.500, 0.764)

Calculated values
Its formation energy without anion corrections is -273.7 meV per atom. The space group is No. 47.

---

# 7
This record from the Alexandria database describes a relaxed Mg2SbAu crystal. The functional is PBEsol.

Lattice parameters (Å, degrees): 4.150 4.155 9.435 90.00 90.00 90.00
Fractional coordinates of all 8 atoms:
Mg (0.000, 0.000, 0.000)
Mg (0.000, 0.500, 0.250)
Mg (0.500, 0.000, 0.750)
Mg (0.500, 0.500, 0.500)
Sb (0.000, 0.000, 0.499)
Sb (0.500, 0.500, 0.999)
Au (0.000, 0.500, 0.749)
Au (0.500, 0.000, 0.249)

Calculated values
Its formation energy without anion corrections is -301.6 meV per atom. The space group is No. 44.

---

# 8
This record from the Alexandria database describes a relaxed MgSb2Au crystal. The functional is PBEsol.

Lattice parameters (Å, degrees): 8.594 3.926 6.334 90.00 114.93 90.00
Fractional coordinates of all 8 atoms:
Mg (0.000, 0.000, 0.000)
Mg (0.500, 0.500, 0.000)
Sb (0.034, 0.500, 0.399)
Sb (0.215, 0.000, 0.774)
Sb (0.534, 0.000, 0.399)
Sb (0.715, 0.500, 0.774)
Au (0.259, 0.500, 0.187)
Au (0.759, 0.000, 0.187)

Calculated values
Its formation energy without anion corrections is -157.6 meV per atom. The space group is No. 8.

---

# 9
This record from the Alexandria database describes a relaxed MgSb2Au crystal. The functional is PBEsol.

Lattice parameters (Å, degrees): 3.746 4.310 11.699 90.00 90.00 90.00
Fractional coordinates of all 8 atoms:
Mg (0.000, 0.000, 0.000)
Mg (0.500, 0.500, 0.500)
Sb (0.000, 0.500, 0.182)
Sb (0.000, 0.500, 0.818)
Sb (0.500, 0.000, 0.318)
Sb (0.500, 0.000, 0.682)
Au (0.000, 0.000, 0.500)
Au (0.500, 0.500, 0.000)

Calculated values
Its formation energy without anion corrections is -130.1 meV per atom. The space group is No. 71.

---

# 10
This record from the Alexandria database describes a relaxed Mg2SbAu2 crystal. The functional is PBEsol.

Lattice parameters (Å, degrees): 7.594 7.594 3.391 90.00 90.00 90.00
Fractional coordinates of all 10 atoms:
Mg (0.161, 0.339, 0.000)
Mg (0.339, 0.839, 0.000)
Mg (0.661, 0.161, 0.000)
Mg (0.839, 0.661, 0.000)
Sb (0.000, 0.000, 0.500)
Sb (0.500, 0.500, 0.500)
Au (0.133, 0.633, 0.500)
Au (0.367, 0.133, 0.500)
Au (0.633, 0.867, 0.500)
Au (0.867, 0.367, 0.500)

Calculated values
Its formation energy without anion corrections is -434.8 meV per atom. The space group is No. 127.

---

# 11
This record from the Alexandria database describes a relaxed MgSb2Au crystal. The functional is PBEsol.

Lattice parameters (Å, degrees): 4.202 4.202 10.117 90.00 90.00 90.00
Fractional coordinates of all 8 atoms:
Mg (0.000, 0.000, 0.000)
Mg (0.500, 0.500, 0.500)
Sb (0.000, 0.000, 0.500)
Sb (0.000, 0.500, 0.250)
Sb (0.500, 0.000, 0.750)
Sb (0.500, 0.500, 0.000)
Au (0.000, 0.500, 0.750)
Au (0.500, 0.000, 0.250)

Calculated values
Its formation energy without anion corrections is -63.4 meV per atom. The space group is No. 119.

---

# 12
This record from the Alexandria database describes a relaxed MgSbAu crystal. The functional is PBEsol.

Lattice parameters (Å, degrees): 3.240 3.240 11.956 90.00 90.00 90.00
Fractional coordinates of all 6 atoms:
Mg (0.000, 0.000, 0.000)
Mg (0.500, 0.500, 0.500)
Sb (0.000, 0.000, 0.308)
Sb (0.500, 0.500, 0.808)
Au (0.000, 0.000, 0.629)
Au (0.500, 0.500, 0.129)

Calculated values
Its formation energy without anion corrections is -217.4 meV per atom. The space group is No. 107.

---

# 13
This record from the Alexandria database describes a relaxed MgSbAu2 crystal. The functional is PBEsol.

Lattice parameters (Å, degrees): 4.227 3.619 10.566 90.00 90.00 90.00
Fractional coordinates of all 8 atoms:
Mg (0.000, 0.000, 0.000)
Mg (0.000, 0.500, 0.500)
Sb (0.500, 0.000, 0.295)
Sb (0.500, 0.500, 0.795)
Au (0.000, 0.000, 0.730)
Au (0.000, 0.500, 0.230)
Au (0.500, 0.000, 0.553)
Au (0.500, 0.500, 0.053)

Calculated values
Its formation energy without anion corrections is -285.0 meV per atom. The space group is No. 38.

---

# 14
This record from the Alexandria database describes a relaxed MgSnSb2Au crystal. The functional is PBEsol.

Lattice parameters (Å, degrees): 5.548 5.548 5.145 90.00 90.00 90.00
Fractional coordinates of all 5 atoms:
Mg (0.000, 0.000, 0.000)
Sn (0.000, 0.000, 0.500)
Sb (0.000, 0.500, 0.500)
Sb (0.500, 0.000, 0.500)
Au (0.500, 0.500, 0.000)

Calculated values
Its formation energy without anion corrections is 856.9 meV per atom. The space group is No. 123.

---

# 15
This record from the Alexandria database describes a relaxed MgSbTe2Au crystal. The functional is PBEsol.

Lattice parameters (Å, degrees): 5.269 5.269 5.266 90.00 90.00 90.00
Fractional coordinates of all 5 atoms:
Mg (0.000, 0.000, 0.000)
Sb (0.000, 0.000, 0.500)
Te (0.000, 0.500, 0.000)
Te (0.500, 0.000, 0.000)
Au (0.500, 0.500, 0.500)

Calculated values
Its formation energy without anion corrections is 691.2 meV per atom. The space group is No. 123.

---

no.,total energy (eV per atom),magnetization (μB/atom)
1,-5.172,1.09
2,-6.134,0.00
3,-6.307,0.00
4,-7.161,0.00
5,-2.770,0.00
6,-3.804,0.00
7,-3.281,0.00
8,-3.847,0.00
9,-3.819,0.00
10,-3.603,0.00
11,-3.752,0.00
12,-3.617,0.00
13,-3.816,0.00
14,-2.946,0.00
15,-2.759,0.00